(1)
Computed, not measured: a relaxed structure of Ta2TlP at the GGA-PBE level of DFT.

Cell and atoms, written as POSCAR:
```
Ta2TlP
1.0
-2.024 2.024 9.730
2.024 -2.024 9.730
2.024 2.024 -9.730
Ta Tl P
4 2 2
Cartesian
3.036 0.978 -2.433
0.978 1.012 2.433
-1.012 1.045 7.298
1.045 1.012 12.163
2.024 0.000 4.865
0.000 0.000 9.730
0.000 0.000 0.000
0.000 2.024 4.865
```

The space-group type is I-42d. The value obtained for the energy above the most stable polymorph in this dataset is 672 meV per atom. As for the calculated formation energy: 0.607 eV per atom. As for the density of states at the Fermi level: 6.1 states/eV/cell.

=====

(2)
Computed, not measured: a relaxed structure of CsNa5S3 at the GGA-PBE level of DFT.

Cell and atoms, written as POSCAR:
```
CsNa5S3
1.0
2.281 -7.557 0.000
2.281 7.557 0.000
0.000 0.000 13.370
Cs Na S
2 10 6
Cartesian
2.281 5.012 10.027
2.281 -5.012 3.342
0.000 0.000 0.000
0.000 0.000 6.685
2.281 4.619 0.886
2.281 4.619 5.799
2.281 0.650 8.576
2.281 0.650 11.479
2.281 -0.650 1.891
2.281 -0.650 4.794
2.281 -4.619 7.571
2.281 -4.619 12.484
2.281 6.189 3.342
2.281 1.877 0.571
2.281 1.877 6.114
2.281 -1.877 7.256
2.281 -1.877 12.798
2.281 -6.189 10.027
```

Its energy relative to the elements, uncorrected is -9.20 eV per formula unit. The space-group type is Cmcm. As for the density of states at the Fermi level: 0.0 states/eV/cell.

=====

(3)
Computed, not measured: a relaxed structure of CaIn8Pb2 at the GGA-PBE level of DFT.

Cell and atoms, written as POSCAR:
```
CaIn8Pb2
1.0
8.986 -2.244 0.000
8.986 2.244 0.000
-1.992 0.000 7.610
Ca In Pb
1 8 2
Cartesian
0.000 0.000 0.000
0.653 0.000 3.397
1.427 0.000 6.960
4.829 0.000 6.221
7.584 0.000 2.130
8.397 0.000 5.479
11.151 0.000 1.389
14.554 0.000 0.649
15.328 0.000 4.212
4.294 0.000 2.792
11.687 0.000 4.817
```

The space-group type is C2/m. As for the calculated formation energy: -0.090 eV per atom. As for the density of states at the Fermi level: 5.1 states/eV/cell.

=====

(4)
Computed, not measured: a relaxed structure of Zr3RuBr at the GGA-PBE level of DFT.

Cell and atoms, written as POSCAR:
```
Zr3RuBr
1.0
4.874 0.000 0.000
0.000 4.874 0.000
0.000 0.000 4.874
Zr Ru Br
3 1 1
Cartesian
0.000 0.000 2.437
0.000 2.437 0.000
2.437 0.000 0.000
2.437 2.437 2.437
0.000 0.000 0.000
```

Its energy relative to the elements, uncorrected is 3.59 eV per formula unit. The space-group type is Pm-3m. The value obtained for the energy above the most stable polymorph in this dataset is 434 meV per atom. As for the density of states at the Fermi level: 4.3 states/eV/cell.

=====

(5)
Computed, not measured: a relaxed structure of SrZnRuO6 at the GGA-PBE level of DFT.

Cell and atoms, written as POSCAR:
```
SrZnRuO6
1.0
2.597 -4.762 0.000
2.597 4.762 0.000
-0.301 0.000 5.237
Sr Zn Ru O
1 1 1 6
Cartesian
0.000 0.000 0.000
2.446 -1.414 2.619
2.446 1.654 2.619
1.135 2.022 1.413
1.653 0.335 3.625
0.870 -1.657 1.593
3.758 2.022 3.824
3.239 0.335 1.612
4.022 -1.657 3.645
```

Its energy relative to the elements, uncorrected is -11.18 eV per formula unit. The space-group type is C2. As for the density of states at the Fermi level: 0.9 states/eV/cell.

=====

(6)
Computed, not measured: a relaxed structure of Na3CuO2 at the GGA-PBE level of DFT.

Cell and atoms, written as POSCAR:
```
Na3CuO2
1.0
5.845 0.000 0.000
0.000 8.813 0.000
-2.903 0.000 7.261
Na Cu O
12 4 8
Cartesian
0.506 1.892 2.260
-0.946 2.514 5.891
-0.014 4.681 3.632
1.438 8.539 0.001
1.132 4.686 0.909
-0.320 8.533 4.540
3.262 0.280 2.721
1.810 4.127 6.352
1.504 0.274 7.260
2.955 4.132 3.629
3.888 6.299 1.370
2.436 6.921 5.001
-0.683 5.972 6.012
0.768 7.248 2.382
2.173 1.565 4.879
3.625 2.842 1.249
-1.934 4.716 5.658
-0.482 8.504 2.027
2.424 1.564 0.846
0.972 2.843 4.476
1.970 5.970 2.785
0.518 7.249 6.415
3.424 0.309 5.234
4.876 4.098 1.603
```

Its energy relative to the elements, uncorrected is -6.71 eV per formula unit. The space-group type is P2_1/c. The value obtained for the energy above the most stable polymorph in this dataset is 11 meV per atom.

=====

(7)
Computed, not measured: a relaxed structure of Ca2GaPtO6 at the GGA-PBE level of DFT.

Cell and atoms, written as POSCAR:
```
Ca2GaPtO6
1.0
5.429 0.000 0.000
0.000 5.579 0.000
-5.412 0.000 7.712
Ca Ga Pt O
4 2 2 12
Cartesian
-0.072 0.322 1.929
-2.778 2.468 5.784
2.795 3.111 1.927
0.089 5.258 5.783
2.714 0.000 0.000
0.008 2.790 3.856
-2.706 0.000 3.856
0.000 2.790 0.000
-4.341 1.117 7.329
-1.635 1.672 3.473
-3.771 3.922 7.320
-1.065 4.448 3.464
-2.175 0.160 5.796
0.531 2.630 1.940
-0.514 2.950 5.772
2.192 5.420 1.916
1.081 1.132 4.248
3.788 1.658 0.392
1.652 3.907 4.238
4.358 4.462 0.382
```

Its energy relative to the elements, uncorrected is -18.30 eV per formula unit. The space-group type is P2_1/c. As for the density of states at the Fermi level: 12.6 states/eV/cell.

=====

(8)
Computed, not measured: a relaxed structure of Tb2Co3P4Rh at the GGA-PBE level of DFT.

Cell and atoms, written as POSCAR:
```
Tb2Co3P4Rh
1.0
3.962 0.000 0.000
0.000 3.962 0.000
0.000 0.000 9.185
Tb Co P Rh
2 3 4 1
Cartesian
0.000 1.981 2.190
1.981 0.000 6.994
0.000 1.981 8.170
1.981 0.000 1.014
1.981 1.981 4.592
0.000 0.000 0.000
0.000 1.981 5.929
1.981 0.000 3.255
1.981 1.981 0.000
0.000 0.000 4.592
```

The space-group type is P-4m2. As for the calculated formation energy: -1.052 eV per atom. As for the density of states at the Fermi level: 3.9 states/eV/cell.